No. 1
# CsZrI3, optimized geometry, DFT GGA-PBE
data_CsZrI3
_cell_length_a 20.836
_cell_length_b 4.048
_cell_length_c 11.835
_cell_angle_alpha 90.00
_cell_angle_beta 110.87
_cell_angle_gamma 90.00
_space_group_name_H-M_alt 'C 1 2/m 1'
_space_group_IT_number 12
loop_
_space_group_symop_operation_xyz
'x,y,z'
'-x,-y,-z'
'-x,y,-z'
'x,-y,z'
'x+1/2,y+1/2,z'
'-x+1/2,-y+1/2,-z'
'-x+1/2,y+1/2,-z'
'x+1/2,-y+1/2,z'
loop_
_atom_site_label
_atom_site_type_symbol
_atom_site_fract_x
_atom_site_fract_y
_atom_site_fract_z
Cs1 Cs 0.102 0.000 0.443
Zr1 Zr 0.209 0.500 0.888
I1 I 0.066 0.500 0.693
I2 I 0.142 0.000 0.996
I3 I 0.248 0.500 0.674
# E_tot in eV per atom: -3.77
# Formation energy from raw total energies in eV/atom: -0.955
# Energy above the lowest structure with this stoichiometry in eV per atom: 0.082

No. 2
# TbDyP2, optimized geometry, DFT GGA-PBE
data_TbDyP2
_cell_length_a 4.0198
_cell_length_b 4.0198
_cell_length_c 19.6669
_cell_angle_alpha 90.00
_cell_angle_beta 90.00
_cell_angle_gamma 120.00
_space_group_name_H-M_alt 'R -3 m'
_space_group_IT_number 166
_space_group_name_Hall '-R 3 2"'
loop_
_atom_site_label
_atom_site_type_symbol
_atom_site_fract_x
_atom_site_fract_y
_atom_site_fract_z
Tb1 Tb 0.0000 0.0000 0.0000
Dy1 Dy 0.0000 0.0000 0.5000
P1 P 0.0000 0.0000 0.2496
# ΔH_f (0 K) in meV per atom: -1614
# E_tot in eV per atom: -6.63
# Energy above the lowest structure with this stoichiometry in eV per atom: 0.001